1.
12
Lattice="6.739 -1.989 0.000 6.739 1.989 0.000 0.000 0.000 10.539" Properties=species:S:1:pos:R:3 comment="NaLuFeSe3, optimized geometry, DFT PBE" relative_energy_ev_per_fu=0.21 pbc="T T T"
Fe 6.339 0.000 2.635
Fe 7.139 0.000 7.905
Lu 0.000 0.000 0.000
Lu 0.000 0.000 5.270
Na 10.200 0.000 2.635
Na 3.277 0.000 7.905
Se 4.904 0.000 0.703
Se 1.084 0.000 2.635
Se 4.904 0.000 4.566
Se 8.574 0.000 5.973
Se 12.394 0.000 7.905
Se 8.574 0.000 9.836



2.
24
Lattice="8.160 0.000 0.000 0.000 4.148 0.000 0.000 0.000 15.883" Properties=species:S:1:pos:R:3 comment="NaLuFeSe3, optimized geometry, DFT PBE" relative_energy_ev_per_fu=0.76 pbc="T T T"
Fe 7.158 3.111 2.241
Fe 3.078 3.111 5.700
Fe 5.082 1.037 10.183
Fe 1.002 1.037 13.641
Lu 1.990 3.111 0.698
Lu 6.070 3.111 7.243
Lu 2.090 1.037 8.639
Lu 6.170 1.037 15.185
Na 4.672 1.037 3.382
Na 0.592 1.037 4.559
Na 7.568 3.111 11.324
Na 3.488 3.111 12.500
Se 5.112 3.111 0.895
Se 0.052 1.037 1.433
Se 2.483 3.111 3.410
Se 6.563 3.111 4.532
Se 4.132 1.037 6.508
Se 1.032 3.111 7.047
Se 7.128 1.037 8.836
Se 4.028 3.111 9.375
Se 1.597 1.037 11.351
Se 5.677 1.037 12.473
Se 8.108 3.111 14.449
Se 3.048 1.037 14.988



3.
12
Lattice="2.094 -7.364 0.000 2.094 7.364 0.000 0.000 0.000 11.155" Properties=species:S:1:pos:R:3 comment="NaLuFeTe3, optimized geometry, DFT PBE" relative_energy_ev_per_fu=0.23 pbc="T T T"
Fe 2.094 6.922 2.789
Fe 2.094 -6.922 8.366
Lu 2.094 0.000 0.000
Lu 2.094 0.000 5.577
Na 2.094 -3.539 2.789
Na 2.094 3.539 8.366
Te 2.094 5.325 0.723
Te 2.094 1.212 2.789
Te 2.094 5.325 4.854
Te 2.094 -5.325 6.301
Te 2.094 -1.212 8.366
Te 2.094 -5.325 10.431



4.
24
Lattice="-4.994 -10.068 0.385 3.637 -1.754 1.306 -3.757 2.387 13.666" Properties=species:S:1:pos:R:3 comment="NaLuFeTe3, optimized geometry, DFT PBE" relative_energy_ev_per_fu=0.24 pbc="T T T"
Fe -4.617 -7.123 3.291
Fe -2.350 -1.942 3.935
Fe -4.582 -6.616 10.770
Fe -2.316 -1.436 11.414
Lu -1.658 -5.452 4.190
Lu 0.797 -0.391 4.152
Lu -7.729 -8.167 10.553
Lu -5.275 -3.106 10.515
Na -2.082 -8.626 1.109
Na -1.377 -2.454 7.433
Na -5.555 -6.104 7.271
Na -4.850 0.068 13.596
Te -3.286 -5.575 1.665
Te -5.173 -9.285 1.936
Te -0.110 -3.092 3.048
Te -3.224 -7.734 5.485
Te -3.692 -3.606 5.436
Te -1.875 0.149 5.421
Te -5.057 -8.707 9.283
Te -3.241 -4.952 9.269
Te -3.709 -0.824 9.220
Te -6.823 -5.466 11.657
Te -1.759 0.727 12.768
Te -3.646 -2.984 13.040



5.
12
Lattice="-7.568 -1.647 -3.878 2.015 -1.620 -3.243 2.189 -8.313 5.513" Properties=species:S:1:pos:R:3 comment="NaLuFeTe3, optimized geometry, DFT PBE" relative_energy_ev_per_fu=0.00 pbc="T T T"
Fe -4.650 -6.249 -3.745
Fe 1.285 -5.332 2.136
Lu -4.275 -2.753 -2.606
Lu 0.911 -8.828 0.998
Na -0.571 -3.051 -0.156
Na -2.794 -8.529 -1.452
Te -1.377 -3.219 -3.225
Te -5.155 -4.073 -5.146
Te -4.197 -5.484 -1.193
Te 0.833 -6.096 -0.415
Te 1.791 -7.508 3.537
Te -1.987 -8.361 1.617



6.
4
Lattice="0.000 3.552 3.552 3.552 0.000 3.552 3.552 3.552 0.000" Properties=species:S:1:pos:R:3 comment="NaLuFeTe, optimized geometry, DFT PBE" relative_energy_ev_per_fu=0.00 pbc="T T T"
Fe 3.552 3.552 3.552
Lu 1.776 1.776 1.776
Na 5.328 5.328 5.328
Te 0.000 0.000 0.000



7.
4
Lattice="0.000 3.315 3.315 3.315 0.000 3.315 3.315 3.315 0.000" Properties=species:S:1:pos:R:3 comment="NaLuFeTe, optimized geometry, DFT PBE" relative_energy_ev_per_fu=0.20 pbc="T T T"
Fe 1.658 1.658 1.658
Lu 3.315 3.315 3.315
Na 4.973 4.973 4.973
Te 0.000 0.000 0.000



8.
4
Lattice="-3.393 -3.100 1.294 -4.601 1.247 -0.269 -2.819 -1.974 -3.310" Properties=species:S:1:pos:R:3 comment="Lu2NbFe, optimized geometry, DFT PBE" formation_energy_ev_per_atom=0.426 relative_energy_ev_per_fu=0.00 pbc="T T T"
Fe 0.000 0.000 0.000
Lu -5.406 -1.914 -1.143
Lu -8.110 -2.870 -1.714
Nb -2.703 -0.957 -0.571



9.
4
Lattice="2.802 -3.404 0.651 -1.250 -4.147 -1.051 1.846 -2.066 -3.491" Properties=species:S:1:pos:R:3 comment="LuNbFe2, optimized geometry, DFT PBE" formation_energy_ev_per_atom=0.274 pbc="T T T"
Fe 0.000 0.000 0.000
Fe 0.849 -2.404 -0.973
Lu 1.699 -4.809 -1.946
Nb 2.548 -7.213 -2.919



10.
Lu2NbFeSi2: optimized geometry, PBE.

Structure (extended XYZ):
```
6
Lattice="3.865 0.000 0.000 0.000 3.865 0.000 0.000 0.000 7.257" Properties=species:S:1:pos:R:3 pbc="T T T"
Fe 0.000 0.000 0.000
Lu 1.933 0.000 2.536
Lu 0.000 1.933 4.721
Nb 1.933 1.933 0.000
Si 0.000 1.933 1.712
Si 1.933 0.000 5.545
```



11.
4
Lattice="0.000 3.341 3.341 3.341 0.000 3.341 3.341 3.341 0.000" Properties=species:S:1:pos:R:3 comment="LuNbFeSn, optimized geometry, DFT PBE" relative_energy_ev_per_fu=0.00 pbc="T T T"
Fe 5.011 5.011 5.011
Lu 3.341 3.341 3.341
Nb 1.670 1.670 1.670
Sn 0.000 0.000 0.000



12.
4
Lattice="0.000 3.356 3.356 3.356 0.000 3.356 3.356 3.356 0.000" Properties=species:S:1:pos:R:3 comment="LuNbTlFe, optimized geometry, DFT PBE" relative_energy_ev_per_fu=0.00 pbc="T T T"
Fe 5.035 5.035 5.035
Lu 1.678 1.678 1.678
Nb 3.356 3.356 3.356
Tl 0.000 0.000 0.000



13.
4
Lattice="0.000 3.186 3.186 3.186 0.000 3.186 3.186 3.186 0.000" Properties=species:S:1:pos:R:3 comment="LuNbZnFe, optimized geometry, DFT PBE" formation_energy_ev_per_atom=0.144 relative_energy_ev_per_fu=0.00 pbc="T T T"
Fe 4.779 4.779 4.779
Lu 1.593 1.593 1.593
Nb 3.186 3.186 3.186
Zn 0.000 0.000 0.000



14.
3
Lattice="0.000 3.321 3.321 3.321 0.000 3.321 3.321 3.321 0.000" Properties=species:S:1:pos:R:3 comment="NdLuFe, optimized geometry, DFT PBE" formation_energy_ev_per_atom=0.237 relative_energy_ev_per_fu=0.00 pbc="T T T"
Fe 0.000 0.000 0.000
Lu 1.661 1.661 1.661
Nd 4.982 4.982 4.982



15.
4
Lattice="4.266 0.277 -0.453 2.371 -3.577 -0.251 1.842 -1.101 -3.725" Properties=species:S:1:pos:R:3 comment="LuFeNi2, optimized geometry, DFT PBE" formation_energy_ev_per_atom=-0.039 pbc="T T T"
Fe 2.120 -1.100 -1.107
Lu 4.239 -2.200 -2.214
Ni 0.000 0.000 0.000
Ni 6.359 -3.301 -3.322



16.
4
Lattice="1.330 -4.086 0.454 3.791 -1.236 -1.664 3.313 -0.915 2.618" Properties=species:S:1:pos:R:3 comment="LuFe2Ni, optimized geometry, DFT PBE" formation_energy_ev_per_atom=0.006 pbc="T T T"
Fe 4.217 -3.118 0.704
Fe 6.325 -4.678 1.056
Lu 2.108 -1.559 0.352
Ni 0.000 0.000 0.000



17.
4
Lattice="0.000 3.338 3.338 3.338 0.000 3.338 3.338 3.338 0.000" Properties=species:S:1:pos:R:3 comment="LuFeNiPb, optimized geometry, DFT PBE" relative_energy_ev_per_fu=0.99 pbc="T T T"
Fe 3.338 3.338 3.338
Lu 1.669 1.669 1.669
Ni 5.007 5.007 5.007
Pb 0.000 0.000 0.000



18.
4
Lattice="-3.735 -2.749 0.776 -2.991 1.025 3.481 -4.320 1.567 -0.997" Properties=species:S:1:pos:R:3 comment="LuFeNiPb, optimized geometry, DFT PBE" relative_energy_ev_per_fu=0.72 pbc="T T T"
Fe -8.285 -0.118 2.445
Lu -2.762 -0.039 0.815
Ni -5.523 -0.079 1.630
Pb 0.000 0.000 0.000



19.
4
Lattice="-1.508 2.272 3.722 -0.091 4.614 0.007 -4.039 2.228 -0.136" Properties=species:S:1:pos:R:3 comment="LuFeNiPb, optimized geometry, DFT PBE" relative_energy_ev_per_fu=0.00 pbc="T T T"
Fe -4.229 6.836 2.695
Lu -2.819 4.557 1.797
Ni -1.410 2.279 0.898
Pb 0.000 0.000 0.000



20.
4
Lattice="0.000 3.284 3.284 3.284 0.000 3.284 3.284 3.284 0.000" Properties=species:S:1:pos:R:3 comment="LuFeNiSb, optimized geometry, DFT PBE" relative_energy_ev_per_fu=0.96 pbc="T T T"
Fe 4.925 4.925 4.925
Lu 1.642 1.642 1.642
Ni 3.284 3.284 3.284
Sb 0.000 0.000 0.000



Number 1: total magnetization 0.67 μB per atom, DFT total energy -5.203 eV per atom. Number 2: total magnetization 0.67 μB per atom, DFT total energy -5.111 eV per atom. Number 3: total magnetization 0.64 μB per atom, DFT total energy -4.676 eV per atom. Number 4: total magnetization 0.65 μB per atom, DFT total energy -4.674 eV per atom. Number 5: total magnetization 0.60 μB per atom, DFT total energy -4.714 eV per atom. Number 6: total magnetization 0.50 μB per atom, DFT total energy -4.268 eV per atom. Number 7: total magnetization 0.01 μB per atom, DFT total energy -4.219 eV per atom. Number 8: total magnetization 0.35 μB per atom, DFT total energy -6.437 eV per atom. Number 9: total magnetization 0.86 μB per atom, DFT total energy -7.535 eV per atom. Number 10: total magnetization 0.30 μB per atom, DFT total energy -6.942 eV per atom. Number 11: total magnetization 0.64 μB per atom, DFT total energy -6.526 eV per atom. Number 12: total magnetization 0.20 μB per atom, DFT total energy -5.884 eV per atom. Number 13: total magnetization 0.00 μB per atom, DFT total energy -5.904 eV per atom. Number 14: total magnetization 0.06 μB per atom, DFT total energy -5.628 eV per atom. Number 15: total magnetization 0.72 μB per atom, DFT total energy -6.031 eV per atom. Number 16: total magnetization 1.18 μB per atom, DFT total energy -6.671 eV per atom. Number 17: total magnetization 0.73 μB per atom, DFT total energy -5.285 eV per atom. Number 18: total magnetization 0.68 μB per atom, DFT total energy -5.350 eV per atom. Number 19: total magnetization 0.43 μB per atom, DFT total energy -5.531 eV per atom. Number 20: total magnetization 0.65 μB per atom, DFT total energy -5.666 eV per atom.